## Rb2Cd7Hg (GGA-PBE)

Data for a relaxed Rb2Cd7Hg crystal.

## Properties
The formation energy comes out at -68 meV per atom.

```
data_Rb2Cd7Hg
_symmetry_space_group_name_H-M 'P -4 m 2'
_symmetry_Int_Tables_number 115
_cell_length_a 4.9916
_cell_length_b 4.9916
_cell_length_c 12.5997
_cell_angle_alpha 90.00
_cell_angle_beta 90.00
_cell_angle_gamma 90.00
loop_
_symmetry_equiv_pos_as_xyz
'x,y,z'
'y,-x,-z'
'-x,-y,z'
'-y,x,-z'
'-x,y,z'
'-y,-x,-z'
'x,-y,z'
'y,x,-z'
loop_
_atom_site_label
_atom_site_fract_x
_atom_site_fract_y
_atom_site_fract_z
Rb1 0.0000 0.5000 0.2482
Cd1 0.0000 0.0000 0.0000
Cd2 0.0000 0.0000 0.5000
Cd3 0.0000 0.5000 0.6325
Cd4 0.0000 0.5000 0.8657
Cd5 0.5000 0.5000 0.5000
Hg1 0.5000 0.5000 0.0000
```


## Rb3Cd5Hg6 (GGA-PBE)

Data for a relaxed Rb3Cd5Hg6 crystal.

## Properties
The formation energy comes out at -129 meV per atom.

```
data_Rb3Cd5Hg6
_symmetry_space_group_name_H-M 'P m m n'
_symmetry_Int_Tables_number 59
_cell_length_a 5.3308
_cell_length_b 15.1659
_cell_length_c 10.7520
_cell_angle_alpha 90.00
_cell_angle_beta 90.00
_cell_angle_gamma 90.00
loop_
_symmetry_equiv_pos_as_xyz
'x,y,z'
'-x,-y,-z'
'-x+1/2,-y+1/2,z'
'x+1/2,y+1/2,-z'
'x+1/2,-y,-z'
'-x+1/2,y,z'
'-x,y+1/2,-z'
'x,-y+1/2,z'
loop_
_atom_site_label
_atom_site_fract_x
_atom_site_fract_y
_atom_site_fract_z
Rb1 0.2500 0.0522 0.2483
Rb2 0.2500 0.7500 0.2568
Cd1 0.2500 0.0835 0.6050
Cd2 0.2500 0.6189 0.9638
Cd3 0.2500 0.7500 0.7480
Hg1 0.2500 0.0793 0.8905
Hg2 0.2500 0.2500 0.0504
Hg3 0.2500 0.2500 0.4477
Hg4 0.2500 0.6132 0.5393
```


## Rb2Cd15Hg2 (GGA-PBE)

Data for a relaxed Rb2Cd15Hg2 crystal.

## Properties
The formation energy comes out at -49 meV per atom.

```
data_Rb2Cd15Hg2
_symmetry_space_group_name_H-M 'R -3 m'
_symmetry_Int_Tables_number 166
_symmetry_space_group_name_Hall '-R 3 2"'
_cell_length_a 10.5764
_cell_length_b 10.5764
_cell_length_c 15.3126
_cell_angle_alpha 90.00
_cell_angle_beta 90.00
_cell_angle_gamma 120.00
loop_
_atom_site_label
_atom_site_fract_x
_atom_site_fract_y
_atom_site_fract_z
Rb1 0.0000 0.0000 0.1603
Cd1 0.0000 0.2962 0.5000
Cd2 0.0000 0.5000 0.0000
Cd3 0.0044 0.5022 0.6516
Hg1 0.0000 0.0000 0.3986
```


## Rb2Cd5Hg5 (GGA-PBE)

Data for a relaxed Rb2Cd5Hg5 crystal.

## Properties
The formation energy comes out at -115 meV per atom.

```
data_Rb2Cd5Hg5
_symmetry_space_group_name_H-M 'P m m m'
_symmetry_Int_Tables_number 47
_cell_length_a 5.2942
_cell_length_b 6.2024
_cell_length_c 11.0958
_cell_angle_alpha 90.00
_cell_angle_beta 90.00
_cell_angle_gamma 90.00
loop_
_symmetry_equiv_pos_as_xyz
'x,y,z'
'-x,-y,-z'
'-x,-y,z'
'x,y,-z'
'x,-y,-z'
'-x,y,z'
'-x,y,-z'
'x,-y,z'
loop_
_atom_site_label
_atom_site_fract_x
_atom_site_fract_y
_atom_site_fract_z
Rb1 0.0000 0.0000 0.0000
Rb2 0.0000 0.5000 0.5000
Cd1 0.5000 0.0000 0.5000
Cd2 0.5000 0.2512 0.2549
Hg1 0.0000 0.0000 0.3321
Hg2 0.0000 0.5000 0.1739
Hg3 0.5000 0.5000 0.0000
```


## RbCdHg (GGA-PBE)

Data for a relaxed RbCdHg crystal.

## Properties
The formation energy comes out at -114 meV per atom.

```
data_RbCdHg
_symmetry_space_group_name_H-M 'I 4 m m'
_symmetry_Int_Tables_number 107
_symmetry_space_group_name_Hall 'I 4 -2'
_cell_length_a 4.1559
_cell_length_b 4.1559
_cell_length_c 12.4878
_cell_angle_alpha 90.00
_cell_angle_beta 90.00
_cell_angle_gamma 90.00
loop_
_atom_site_label
_atom_site_fract_x
_atom_site_fract_y
_atom_site_fract_z
Rb1 0.0000 0.0000 0.0000
Cd1 0.0000 0.0000 0.2896
Hg1 0.0000 0.0000 0.7057
```


## RbCdHg3 (GGA-PBE)

Data for a relaxed RbCdHg3 crystal.

## Properties
The formation energy comes out at -155 meV per atom.

```
data_RbCdHg3
_symmetry_space_group_name_H-M 'P n m a'
_symmetry_Int_Tables_number 62
_cell_length_a 9.6132
_cell_length_b 5.4504
_cell_length_c 12.3952
_cell_angle_alpha 90.00
_cell_angle_beta 90.00
_cell_angle_gamma 90.00
loop_
_symmetry_equiv_pos_as_xyz
'x,y,z'
'-x,-y,-z'
'-x+1/2,-y,z+1/2'
'x+1/2,y,-z+1/2'
'x+1/2,-y+1/2,-z+1/2'
'-x+1/2,y+1/2,z+1/2'
'-x,y+1/2,-z'
'x,-y+1/2,z'
loop_
_atom_site_label
_atom_site_fract_x
_atom_site_fract_y
_atom_site_fract_z
Rb1 0.1933 0.2500 0.0047
Cd1 0.0826 0.2500 0.3671
Hg1 0.0723 0.2500 0.6077
Hg2 0.1239 0.7500 0.8049
Hg3 0.1353 0.7500 0.2060
```


## RbCd9Hg2 (GGA-PBE)

Data for a relaxed RbCd9Hg2 crystal.

## Properties
The formation energy comes out at 15 meV per atom.

```
data_RbCd9Hg2
_symmetry_space_group_name_H-M 'P 6/m m m'
_symmetry_Int_Tables_number 191
_symmetry_space_group_name_Hall '-P 6 2'
_cell_length_a 9.7720
_cell_length_b 9.7720
_cell_length_c 3.7489
_cell_angle_alpha 90.00
_cell_angle_beta 90.00
_cell_angle_gamma 120.00
loop_
_atom_site_label
_atom_site_fract_x
_atom_site_fract_y
_atom_site_fract_z
Rb1 0.0000 0.0000 0.0000
Cd1 0.0000 0.5000 0.0000
Cd2 0.1864 0.3728 0.5000
Hg1 0.3333 0.6667 0.0000
```


## Rb2CdHg10 (GGA-PBE)

Data for a relaxed Rb2CdHg10 crystal.

## Properties
The formation energy comes out at -80 meV per atom.

```
data_Rb2CdHg10
_symmetry_space_group_name_H-M 'P b a m'
_symmetry_Int_Tables_number 55
_cell_length_a 11.5874
_cell_length_b 13.3784
_cell_length_c 6.4423
_cell_angle_alpha 90.00
_cell_angle_beta 90.00
_cell_angle_gamma 90.00
loop_
_symmetry_equiv_pos_as_xyz
'x,y,z'
'-x,-y,-z'
'-x,-y,z'
'x,y,-z'
'x+1/2,-y+1/2,-z'
'-x+1/2,y+1/2,z'
'-x+1/2,y+1/2,-z'
'x+1/2,-y+1/2,z'
loop_
_atom_site_label
_atom_site_fract_x
_atom_site_fract_y
_atom_site_fract_z
Rb1 0.1408 0.1373 0.0000
Cd1 0.0000 0.5000 0.5000
Hg1 0.0313 0.8848 0.5000
Hg2 0.0675 0.6827 0.2381
Hg3 0.1952 0.2992 0.5000
Hg4 0.2396 0.0383 0.5000
```


## RbCd2Hg4 (GGA-PBE)

Data for a relaxed RbCd2Hg4 crystal.

## Properties
The formation energy comes out at -86 meV per atom.

```
data_RbCd2Hg4
_symmetry_space_group_name_H-M 'I m m m'
_symmetry_Int_Tables_number 71
_symmetry_space_group_name_Hall '-I 2 2'
_cell_length_a 4.3333
_cell_length_b 4.9272
_cell_length_c 20.1444
_cell_angle_alpha 90.00
_cell_angle_beta 90.00
_cell_angle_gamma 90.00
loop_
_atom_site_label
_atom_site_fract_x
_atom_site_fract_y
_atom_site_fract_z
Rb1 0.0000 0.0000 0.0000
Cd1 0.0000 0.5000 0.1839
Hg1 0.0000 0.0000 0.4228
Hg2 0.0000 0.5000 0.3287
```


## RbCd4Hg4 (GGA-PBE)

Data for a relaxed RbCd4Hg4 crystal.

## Properties
The formation energy comes out at -18 meV per atom.

```
data_RbCd4Hg4
_symmetry_space_group_name_H-M 'I 4/m'
_symmetry_Int_Tables_number 87
_symmetry_space_group_name_Hall '-I 4'
_cell_length_a 10.6611
_cell_length_b 10.6611
_cell_length_c 4.5332
_cell_angle_alpha 90.00
_cell_angle_beta 90.00
_cell_angle_gamma 90.00
loop_
_atom_site_label
_atom_site_fract_x
_atom_site_fract_y
_atom_site_fract_z
Rb1 0.0000 0.0000 0.0000
Cd1 0.9996 0.3491 0.0000
Hg1 0.1796 0.8195 0.5000
```


## RbCd3Hg2 (GGA-PBE)

Data for a relaxed RbCd3Hg2 crystal.

## Properties
The formation energy comes out at -107 meV per atom.

```
data_RbCd3Hg2
_symmetry_space_group_name_H-M 'C 1 2/m 1'
_symmetry_Int_Tables_number 12
_cell_length_a 18.3726
_cell_length_b 4.7040
_cell_length_c 9.3330
_cell_angle_alpha 90.00
_cell_angle_beta 114.92
_cell_angle_gamma 90.00
loop_
_symmetry_equiv_pos_as_xyz
'x,y,z'
'-x,-y,-z'
'-x,y,-z'
'x,-y,z'
'x+1/2,y+1/2,z'
'-x+1/2,-y+1/2,-z'
'-x+1/2,y+1/2,-z'
'x+1/2,-y+1/2,z'
loop_
_atom_site_label
_atom_site_fract_x
_atom_site_fract_y
_atom_site_fract_z
Rb1 0.1504 0.0000 0.0579
Cd1 0.0359 0.0000 0.3732
Cd2 0.0857 0.5000 0.6587
Cd3 0.1865 0.5000 0.4541
Hg1 0.0265 0.5000 0.1713
Hg2 0.1936 0.0000 0.6879
```


## RbCd2Hg7 (GGA-PBE)

Data for a relaxed RbCd2Hg7 crystal.

## Properties
The formation energy comes out at -16 meV per atom.

```
data_RbCd2Hg7
_symmetry_space_group_name_H-M 'C m m m'
_symmetry_Int_Tables_number 65
_symmetry_space_group_name_Hall '-C 2 2'
_cell_length_a 8.5869
_cell_length_b 14.7010
_cell_length_c 5.8077
_cell_angle_alpha 90.00
_cell_angle_beta 90.00
_cell_angle_gamma 90.00
loop_
_atom_site_label
_atom_site_fract_x
_atom_site_fract_y
_atom_site_fract_z
Rb1 0.0000 0.0000 0.0000
Cd1 0.0000 0.2934 0.5000
Hg1 0.0000 0.2823 0.0000
Hg2 0.0000 0.5000 0.5000
Hg3 0.1842 0.1155 0.5000
```


## Rb2Cd6Hg3 (GGA-PBE)

Data for a relaxed Rb2Cd6Hg3 crystal.

## Properties
The formation energy comes out at -89 meV per atom.

```
data_Rb2Cd6Hg3
_symmetry_space_group_name_H-M 'P -6 2 m'
_symmetry_Int_Tables_number 189
_symmetry_space_group_name_Hall 'P -6 -2'
_cell_length_a 9.1889
_cell_length_b 9.1889
_cell_length_c 4.5633
_cell_angle_alpha 90.00
_cell_angle_beta 90.00
_cell_angle_gamma 120.00
loop_
_atom_site_label
_atom_site_fract_x
_atom_site_fract_y
_atom_site_fract_z
Rb1 0.3333 0.6667 0.0000
Cd1 0.0000 0.2660 0.5000
Cd2 0.0000 0.8109 0.0000
Hg1 0.0000 0.5928 0.5000
```


## Rb3Cd7Hg4 (GGA-PBE)

Data for a relaxed Rb3Cd7Hg4 crystal.

## Properties
The formation energy comes out at -111 meV per atom.

```
data_Rb3Cd7Hg4
_symmetry_space_group_name_H-M 'C 1 2/m 1'
_symmetry_Int_Tables_number 12
_cell_length_a 18.5748
_cell_length_b 5.2639
_cell_length_c 10.4707
_cell_angle_alpha 90.00
_cell_angle_beta 123.85
_cell_angle_gamma 90.00
loop_
_symmetry_equiv_pos_as_xyz
'x,y,z'
'-x,-y,-z'
'-x,y,-z'
'x,-y,z'
'x+1/2,y+1/2,z'
'-x+1/2,-y+1/2,-z'
'-x+1/2,y+1/2,-z'
'x+1/2,-y+1/2,z'
loop_
_atom_site_label
_atom_site_fract_x
_atom_site_fract_y
_atom_site_fract_z
Rb1 0.0000 0.0000 0.0000
Rb2 0.2101 0.5000 0.7107
Cd1 0.0000 0.0000 0.5000
Cd2 0.0015 0.5000 0.3259
Cd3 0.1369 0.0000 0.4303
Cd4 0.1603 0.5000 0.0101
Hg1 0.1369 0.0000 0.8439
Hg2 0.1613 0.5000 0.3072
```


## RbCdHg11 (GGA-PBE)

Data for a relaxed RbCdHg11 crystal.

## Properties
The formation energy comes out at -76 meV per atom.

```
data_RbCdHg11
_symmetry_space_group_name_H-M 'C 1 2/m 1'
_symmetry_Int_Tables_number 12
_cell_length_a 6.2513
_cell_length_b 15.6360
_cell_length_c 8.3948
_cell_angle_alpha 90.00
_cell_angle_beta 109.88
_cell_angle_gamma 90.00
loop_
_symmetry_equiv_pos_as_xyz
'x,y,z'
'-x,-y,-z'
'-x,y,-z'
'x,-y,z'
'x+1/2,y+1/2,z'
'-x+1/2,-y+1/2,-z'
'-x+1/2,y+1/2,-z'
'x+1/2,-y+1/2,z'
loop_
_atom_site_label
_atom_site_fract_x
_atom_site_fract_y
_atom_site_fract_z
Rb1 0.0000 0.0000 0.0000
Cd1 0.0000 0.5000 0.5000
Hg1 0.0000 0.0000 0.5000
Hg2 0.1023 0.3938 0.2145
Hg3 0.1822 0.1771 0.3581
Hg4 0.2500 0.2500 0.0000
```


## Rb6CdHg4 (GGA-PBE)

Data for a relaxed Rb6CdHg4 crystal.

## Properties
The formation energy comes out at -164 meV per atom.

```
data_Rb6CdHg4
_symmetry_space_group_name_H-M 'P 63 m c'
_symmetry_Int_Tables_number 186
_symmetry_space_group_name_Hall 'P 6c -2c'
_cell_length_a 11.8541
_cell_length_b 11.8541
_cell_length_c 9.0196
_cell_angle_alpha 90.00
_cell_angle_beta 90.00
_cell_angle_gamma 120.00
loop_
_atom_site_label
_atom_site_fract_x
_atom_site_fract_y
_atom_site_fract_z
Rb1 0.0569 0.5284 0.0000
Rb2 0.1331 0.2662 0.3193
Cd1 0.3333 0.6667 0.6120
Hg1 0.1958 0.3917 0.7147
Hg2 0.3333 0.6667 0.2781
```


## Rb2Cd3Hg5 (GGA-PBE)

Data for a relaxed Rb2Cd3Hg5 crystal.

## Properties
The formation energy comes out at -153 meV per atom.

```
data_Rb2Cd3Hg5
_symmetry_space_group_name_H-M 'I b a m'
_symmetry_Int_Tables_number 72
_symmetry_space_group_name_Hall '-I 2 2c'
_cell_length_a 11.9207
_cell_length_b 14.5803
_cell_length_c 7.3621
_cell_angle_alpha 90.00
_cell_angle_beta 90.00
_cell_angle_gamma 90.00
loop_
_atom_site_label
_atom_site_fract_x
_atom_site_fract_y
_atom_site_fract_z
Rb1 0.2312 0.1318 0.0000
Cd1 0.0000 0.5000 0.2500
Cd2 0.0997 0.1397 0.5000
Hg1 0.0000 0.0000 0.2500
Hg2 0.0000 0.2822 0.2500
Hg3 0.1576 0.3944 0.0000
```


## Rb3Cd3Hg8 (GGA-PBE)

Data for a relaxed Rb3Cd3Hg8 crystal.

## Properties
The formation energy comes out at -178 meV per atom.

```
data_Rb3Cd3Hg8
_symmetry_space_group_name_H-M 'I m m m'
_symmetry_Int_Tables_number 71
_symmetry_space_group_name_Hall '-I 2 2'
_cell_length_a 5.4637
_cell_length_b 10.3174
_cell_length_c 15.6603
_cell_angle_alpha 90.00
_cell_angle_beta 90.00
_cell_angle_gamma 90.00
loop_
_atom_site_label
_atom_site_fract_x
_atom_site_fract_y
_atom_site_fract_z
Rb1 0.0000 0.0000 0.0000
Rb2 0.0000 0.0000 0.2791
Cd1 0.0000 0.1538 0.5000
Cd2 0.0000 0.5000 0.0000
Hg1 0.0000 0.3024 0.1432
Hg2 0.0000 0.3483 0.3493
```


## Rb2CdHg (GGA-PBE)

Data for a relaxed Rb2CdHg crystal.

## Properties
The formation energy comes out at -141 meV per atom.

```
data_Rb2CdHg
_symmetry_space_group_name_H-M 'A m m 2'
_symmetry_Int_Tables_number 38
_cell_length_a 5.2658
_cell_length_b 5.3523
_cell_length_c 13.2809
_cell_angle_alpha 90.00
_cell_angle_beta 90.00
_cell_angle_gamma 90.00
loop_
_symmetry_equiv_pos_as_xyz
'x,y,z'
'-x,-y,z'
'-x,y,z'
'x,-y,z'
'x,y+1/2,z+1/2'
'-x,-y+1/2,z+1/2'
'-x,y+1/2,z+1/2'
'x,-y+1/2,z+1/2'
loop_
_atom_site_label
_atom_site_fract_x
_atom_site_fract_y
_atom_site_fract_z
Rb1 0.0000 0.0000 0.0000
Rb2 0.5000 0.0000 0.2947
Cd1 0.5000 0.0000 0.5927
Hg1 0.0000 0.0000 0.7040
```